# 1
This record from the Alexandria database describes a relaxed structure of NdU2S3. The functional is GGA-PBE.

- calculated total energy (eV per cell) = -98.1

a b c (Å): 3.896 5.567 11.927
angles (deg): 90.00 90.00 90.00
Space group Immm (No. 71)
Unique sites:
Nd 0.000 0.000 0.000
U 0.000 0.000 0.337
S 0.000 0.500 0.000
S 0.000 0.500 0.325


# 2
This record from the Alexandria database describes a relaxed structure of Nd3US4. The functional is GGA-PBE.

- calculated total energy (eV per cell) = -113.5

a b c (Å): 8.105 11.381 3.993
angles (deg): 90.00 90.00 90.00
Space group Cmmm (No. 65)
Unique sites:
Nd 0.000 0.000 0.000
Nd 0.250 0.250 0.500
U 0.000 0.500 0.000
S 0.000 0.255 0.000
S 0.240 0.500 0.500


# 3
This record from the Alexandria database describes a relaxed structure of Nd2U3S8. The functional is GGA-PBE.

- calculated total energy (eV per cell) = -194.1

a b c (Å): 14.194 7.972 6.663
angles (deg): 90.00 109.39 90.00
Space group C2/m (No. 12)
Unique sites:
Nd 0.236 0.000 0.163
U 0.000 0.243 0.500
U 0.000 0.500 0.000
S 0.114 0.000 0.421
S 0.114 0.500 0.422
S 0.123 0.269 0.913


# 4
This record from the Alexandria database describes a relaxed structure of Nd5U3S8. The functional is GGA-PBE.

- calculated total energy (eV per cell) = -356.0

a b c (Å): 7.9715 7.9715 19.7103
angles (deg): 90.00 90.00 120.00
Space group R-3m (No. 166, hexagonal axes)
Unique sites:
Nd 0.0000 0.0000 0.0000
Nd 0.0000 0.0000 0.5000
Nd 0.0000 0.5000 0.0000
U 0.0000 0.5000 0.5000
S 0.0000 0.0000 0.2454
S 0.0066 0.5033 0.7533


# 5
This record from the Alexandria database describes a relaxed structure of NdU3S4. The functional is GGA-PBE.

- calculated total energy (eV per cell) = -134.4

a b c (Å): 7.893 11.071 3.892
angles (deg): 90.00 90.00 90.00
Space group Cmmm (No. 65)
Unique sites:
Nd 0.000 0.000 0.000
U 0.000 0.500 0.000
U 0.250 0.250 0.500
S 0.000 0.254 0.000
S 0.242 0.500 0.500


# 6
This record from the Alexandria database describes a relaxed structure of Nd4US5. The functional is GGA-PBE.

- calculated total energy (eV per cell) = -139.6

a b c (Å): 4.002 5.688 20.337
angles (deg): 90.00 90.00 90.00
Space group Immm (No. 71)
Unique sites:
Nd 0.000 0.000 0.100
Nd 0.000 0.000 0.306
U 0.000 0.000 0.500
S 0.000 0.500 0.095
S 0.000 0.500 0.298
S 0.000 0.500 0.500


# 7
This record from the Alexandria database describes a relaxed structure of NdY2US8. The functional is GGA-PBE.

- calculated total energy (eV per cell) = -79.9

a b c (Å): 5.957 8.295 6.300
angles (deg): 90.00 90.71 90.00
Space group P2/m (No. 10)
Unique sites:
Nd 0.000 0.000 0.000
Y 0.500 0.256 0.500
U 0.000 0.500 0.000
S 0.216 0.000 0.423
S 0.243 0.500 0.341
S 0.249 0.271 0.867


# 8
This record from the Alexandria database describes a relaxed structure of NdVS. The functional is GGA-PBE.

- calculated total energy (eV per cell) = -81.8

a b c (Å): 3.878 4.361 14.985
angles (deg): 90.00 90.00 90.00
Space group Immm (No. 71)
Unique sites:
Nd 0.000 0.000 0.160
V 0.000 0.280 0.500
S 0.000 0.000 0.353


# 9
This record from the Alexandria database describes a relaxed structure of NdVS2. The functional is GGA-PBE.

- calculated total energy (eV per cell) = -76.0

a b c (Å): 3.6703 3.6703 24.2171
angles (deg): 90.00 90.00 120.00
Space group R-3m (No. 166, hexagonal axes)
Unique sites:
Nd 0.0000 0.0000 0.0000
V 0.0000 0.0000 0.5000
S 0.0000 0.0000 0.1141


# 10
This record from the Alexandria database describes a relaxed structure of NdWS2. The functional is GGA-PBE.

- calculated total energy (eV per cell) = -82.7

a b c (Å): 3.2730 3.2730 26.8487
angles (deg): 90.00 90.00 120.00
Space group R-3m (No. 166, hexagonal axes)
Unique sites:
Nd 0.0000 0.0000 0.0000
W 0.0000 0.0000 0.5000
S 0.0000 0.0000 0.1077


# 11
This record from the Alexandria database describes a relaxed structure of Nd5YS6. The functional is GGA-PBE.

- calculated total energy (eV per cell) = -158.7

a b c (Å): 7.005 12.157 7.000
angles (deg): 90.00 109.65 90.00
Space group C2/m (No. 12)
Unique sites:
Nd 0.000 0.000 0.000
Nd 0.000 0.167 0.500
Nd 0.000 0.330 0.000
Y 0.000 0.500 0.500
S 0.243 0.500 0.253
S 0.244 0.338 0.744


# 12
This record from the Alexandria database describes a relaxed structure of Nd4YS6. The functional is GGA-PBE.

- calculated total energy (eV per cell) = -289.9

a b c (Å): 3.930 13.399 20.427
angles (deg): 90.00 90.00 90.00
Space group Cmcm (No. 63)
Unique sites:
Nd 0.000 0.090 0.130
Nd 0.000 0.360 0.041
Y 0.000 0.153 0.750
S 0.000 0.000 0.000
S 0.000 0.201 0.250
S 0.000 0.271 0.590
S 0.000 0.445 0.170


# 13
This record from the Alexandria database describes a relaxed structure of NdYS2. The functional is GGA-PBE.

- ΔE to the lowest computed polymorph (eV per atom) = 0.061
- calculated total energy (eV per cell) = -81.9

a b c (Å): 3.8992 3.8992 20.8677
angles (deg): 90.00 90.00 120.00
Space group R3m (No. 160, hexagonal axes)
Unique sites:
Nd 0.0000 0.0000 0.0000
Y 0.0000 0.0000 0.8219
S 0.0000 0.0000 0.4135
S 0.0000 0.0000 0.5750


# 14
This record from the Alexandria database describes a relaxed structure of NdYS. The functional is GGA-PBE.

- ΔE to the lowest computed polymorph (eV per atom) = 0.000
- calculated total energy (eV per cell) = -57.6

a b c (Å): 3.8925 3.8925 19.1084
angles (deg): 90.00 90.00 120.00
Space group R3m (No. 160, hexagonal axes)
Unique sites:
Nd 0.0000 0.0000 0.0000
Y 0.0000 0.0000 0.4965
S 0.0000 0.0000 0.2430


# 15
This record from the Alexandria database describes a relaxed structure of Nd2YS. The functional is GGA-PBE.

- calculated total energy (eV per cell) = -71.0

a b c (Å): 3.8675 3.8675 28.7009
angles (deg): 90.00 90.00 120.00
Space group R-3m (No. 166, hexagonal axes)
Unique sites:
Nd 0.0000 0.0000 0.2279
Y 0.0000 0.0000 0.0000
S 0.0000 0.0000 0.5000


# 16
This record from the Alexandria database describes a relaxed structure of NdYS. The functional is GGA-PBE.

- ΔE to the lowest computed polymorph (eV per atom) = 0.011
- calculated total energy (eV per cell) = -19.2

a b c (Å): 3.8641 3.8641 6.4796
angles (deg): 90.00 90.00 120.00
Space group P3m1 (No. 156)
Unique sites:
Nd 0.0000 0.0000 0.0000
Y 0.6667 0.3333 0.4797
S 0.3333 0.6667 0.7261


# 17
This record from the Alexandria database describes a relaxed structure of NdY2S4. The functional is GGA-PBE.

- ΔE to the lowest computed polymorph (eV per atom) = 0.019
- calculated total energy (eV per cell) = -194.3

a b c (Å): 12.006 3.891 14.161
angles (deg): 90.00 90.00 90.00
Space group Pnma (No. 62)
Unique sites:
Nd 0.250 0.250 0.168
Y 0.064 0.250 0.388
Y 0.093 0.250 0.905
S 0.040 0.750 0.783
S 0.096 0.250 0.578
S 0.130 0.750 0.041
S 0.201 0.750 0.316


# 18
This record from the Alexandria database describes a relaxed structure of NdY2S4. The functional is GGA-PBE.

- ΔE to the lowest computed polymorph (eV per atom) = 0.000
- calculated total energy (eV per cell) = -194.9

a b c (Å): 3.875 13.013 13.239
angles (deg): 90.00 90.00 90.00
Space group Cmcm (No. 63)
Unique sites:
Nd 0.000 0.124 0.250
Y 0.000 0.370 0.068
S 0.000 0.000 0.000
S 0.000 0.274 0.620
S 0.000 0.464 0.250


# 19
This record from the Alexandria database describes a relaxed structure of Nd6YS8. The functional is GGA-PBE.

- ΔE to the lowest computed polymorph (eV per atom) = 0.000
- calculated total energy (eV per cell) = -395.5

a b c (Å): 11.465 11.465 11.465
angles (deg): 90.00 90.00 90.00
Space group Fm-3m (No. 225)
Unique sites:
Nd 0.000 0.250 0.250
Y 0.000 0.000 0.000
S 0.000 0.000 0.243
S 0.250 0.250 0.250


# 20
This record from the Alexandria database describes a relaxed structure of Nd2Y2S3. The functional is GGA-PBE.

- calculated total energy (eV per cell) = -93.8

a b c (Å): 13.234 3.984 6.826
angles (deg): 90.00 102.22 90.00
Space group C2/m (No. 12)
Unique sites:
Nd 0.124 0.000 0.365
Y 0.129 0.500 0.869
S 0.000 0.500 0.500
S 0.247 0.000 0.757